1.
This record from Alexandria via LeMat-Bulk describes a relaxed Tm3Si3Au2 crystal. The functional is GGA-PBE.

Calculated values
The calculated volume comes out at 19.6 A^3/atom.

Lattice parameters (Å, degrees): 5.676 5.676 14.021 90.00 90.00 135.97
Positions (direct):
Tm: 0.081 0.919 0.614
Tm: 0.081 0.919 0.886
Tm: 0.361 0.639 0.750
Tm: 0.639 0.361 0.250
Tm: 0.919 0.081 0.114
Tm: 0.919 0.081 0.386
Si: 0.357 0.643 0.250
Si: 0.400 0.600 0.541
Si: 0.400 0.600 0.959
Si: 0.600 0.400 0.041
Si: 0.600 0.400 0.459
Si: 0.643 0.357 0.750
Au: 0.210 0.790 0.098
Au: 0.210 0.790 0.402
Au: 0.790 0.210 0.598
Au: 0.790 0.210 0.902


2.
This record from Alexandria via LeMat-Bulk describes a relaxed TmSi3Au3 crystal. The functional is GGA-PBE.

Calculated values
The calculated volume comes out at 22.5 A^3/atom.

Lattice parameters (Å, degrees): 6.800 6.800 6.800 90.00 90.00 90.00
Positions (direct):
Tm: 0.000 0.000 0.000
Tm: 0.500 0.500 0.500
Si: 0.000 0.250 0.500
Si: 0.000 0.750 0.500
Si: 0.250 0.500 0.000
Si: 0.500 0.000 0.250
Si: 0.500 0.000 0.750
Si: 0.750 0.500 0.000
Au: 0.000 0.500 0.250
Au: 0.000 0.500 0.750
Au: 0.250 0.000 0.500
Au: 0.500 0.250 0.000
Au: 0.500 0.750 0.000
Au: 0.750 0.000 0.500


| no. | density of states at the Fermi level (states/eV/f.u.) | raw total energy (eV per atom) | formation energy from raw total energies (meV per atom) |
| --- | --- | --- | --- |
| 1 | 5.55 | -5.2995 | -769.7 |
| 2 | 4.06 | -4.2748 | 92.8 |